First-principles (PBE) data for a geometry-optimized LiNd12Hg6 structure, as listed in Alexandria.

Cell lengths 15.2586, 15.2586, 8.4883 Å; angles 90.00, 90.00, 120.00 degrees
Space group R-3 (No. 148, hexagonal axes)
One atom of each set of equivalent atoms:
Li (0.0000, 0.0000, 0.0000)
Nd (0.0067, 0.8589, 0.3394)
Nd (0.0659, 0.5765, 0.6578)
Hg (0.0178, 0.2660, 0.3406)

Summary:
formation energy	-3.10	eV per formula unit

=====

First-principles (PBE) data for a geometry-optimized LiNd6Hg5 structure, as listed in Alexandria.

Cell lengths 5.3984, 7.6766, 8.5710 Å; angles 90.00, 108.40, 90.00 degrees
Space group P2/m (No. 10)
One atom of each set of equivalent atoms:
Li (0.0000, 0.0000, 0.0000)
Nd (0.1679, 0.2481, 0.3382)
Nd (0.5000, 0.2548, 0.0000)
Hg (0.0000, 0.5000, 0.0000)
Hg (0.3362, 0.5000, 0.6697)
Hg (0.3445, 0.0000, 0.6855)

Summary:
formation energy	-4.76	eV per formula unit

=====

First-principles (PBE) data for a geometry-optimized LiNd2Hg3 structure, as listed in Alexandria.

Cell lengths 5.2462, 5.2462, 12.9786 Å; angles 90.00, 90.00, 120.00 degrees
Space group P-3m1 (No. 164)
One atom of each set of equivalent atoms:
Li (0.3333, 0.6667, 0.1631)
Nd (0.0000, 0.0000, 0.0000)
Nd (0.0000, 0.0000, 0.5000)
Nd (0.3333, 0.6667, 0.6840)
Hg (0.0000, 0.0000, 0.2425)
Hg (0.3333, 0.6667, 0.4060)
Hg (0.3333, 0.6667, 0.9254)

Summary:
formation energy	-2.70	eV per formula unit

=====

First-principles (PBE) data for a geometry-optimized LiNd2Hg3 structure, as listed in Alexandria.

Cell lengths 6.9339, 9.9908, 17.2825 Å; angles 90.00, 90.00, 90.00 degrees
Space group Fmmm (No. 69)
One atom of each set of equivalent atoms:
Li (0.0000, 0.0000, 0.1667)
Nd (0.2438, 0.0000, 0.5000)
Nd (0.2500, 0.2500, 0.2500)
Hg (0.0000, 0.0000, 0.3263)
Hg (0.0000, 0.2369, 0.0868)

Summary:
formation energy	-2.45	eV per formula unit

=====

First-principles (PBE) data for a geometry-optimized Li2NdHg4 structure, as listed in Alexandria.

Cell lengths 4.7651, 4.7651, 24.9454 Å; angles 90.00, 90.00, 120.00 degrees
Space group R-3m (No. 166, hexagonal axes)
One atom of each set of equivalent atoms:
Li (0.0000, 0.0000, 0.2424)
Nd (0.0000, 0.0000, 0.0000)
Hg (0.0000, 0.0000, 0.1305)
Hg (0.0000, 0.0000, 0.4020)

Summary:
formation energy	-2.11	eV per formula unit

=====

First-principles (PBE) data for a geometry-optimized LiNd3Hg12 structure, as listed in Alexandria.

Cell lengths 4.6666, 4.6666, 18.4339 Å; angles 90.00, 90.00, 90.00 degrees
Space group P4/mmm (No. 123)
One atom of each set of equivalent atoms:
Li (0.0000, 0.0000, 0.0000)
Nd (0.0000, 0.0000, 0.2370)
Nd (0.0000, 0.0000, 0.5000)
Hg (0.0000, 0.5000, 0.1141)
Hg (0.0000, 0.5000, 0.3709)
Hg (0.5000, 0.5000, 0.0000)
Hg (0.5000, 0.5000, 0.2445)
Hg (0.5000, 0.5000, 0.5000)

Summary:
formation energy	-5.17	eV per formula unit

=====

First-principles (PBE) data for a geometry-optimized Li6NdHg2 structure, as listed in Alexandria.

Cell lengths 4.1486, 4.1486, 11.2837 Å; angles 90.00, 90.00, 90.00 degrees
Space group P4/mmm (No. 123)
One atom of each set of equivalent atoms:
Li (0.0000, 0.0000, 0.0000)
Li (0.0000, 0.5000, 0.2029)
Li (0.5000, 0.5000, 0.0000)
Nd (0.0000, 0.0000, 0.5000)
Hg (0.5000, 0.5000, 0.3612)

Summary:
formation energy	-1.74	eV per formula unit

=====

First-principles (PBE) data for a geometry-optimized Li5Nd2Hg3 structure, as listed in Alexandria.

Cell lengths 12.1571, 12.3515, 6.0245 Å; angles 90.00, 90.00, 90.00 degrees
Space group Ibam (No. 72)
One atom of each set of equivalent atoms:
Li (0.0000, 0.0000, 0.2500)
Li (0.1417, 0.3790, 0.0000)
Li (0.2257, 0.0000, 0.2500)
Nd (0.1113, 0.2704, 0.5000)
Hg (0.0000, 0.5000, 0.2500)
Hg (0.1299, 0.1590, 0.0000)

Summary:
formation energy	-2.38	eV per formula unit